# 1
SrZn2Cu: relaxed, PBE.

Cell lengths 4.794, 4.794, 9.352 Å; angles 75.15, 75.15, 90.00 degrees
Positions (direct):
Sr 0.000 0.000 0.000
Sr 0.750 0.250 0.500
Zn 0.375 0.125 0.250
Zn 0.375 0.625 0.250
Zn 0.375 0.625 0.750
Zn 0.875 0.625 0.750
Cu 0.500 0.500 0.000
Cu 0.250 0.750 0.500

Results
Its space group is I4_1/amd, No. 141. The formation enthalpy at 0 K is -40.9 meV per atom.

=====

# 2
SrZn10Cu2: relaxed, PBE.

Cell lengths 5.010, 6.965, 6.907 Å; angles 82.50, 68.73, 68.92 degrees
Positions (direct):
Sr 0.000 0.000 0.000
Zn 0.353 0.638 0.656
Zn 0.647 0.362 0.344
Zn 0.991 0.362 0.656
Zn 0.009 0.638 0.344
Zn 0.000 0.000 0.500
Zn 0.500 0.000 0.500
Zn 0.273 0.233 0.221
Zn 0.727 0.767 0.779
Zn 0.506 0.767 0.221
Zn 0.494 0.233 0.779
Cu 0.000 0.500 0.000
Cu 0.500 0.500 0.000

Results
Its space group is Fmmm, No. 69. The formation enthalpy at 0 K is -123.7 meV per atom.

=====

Record-wise magnetization values, in μB per formula unit: 0.0; 0.0
Record-wise electronic total energy values, in eV/atom: -2.122; -1.863